Material: SmMnSe3
Method: DFT, PBE
State: relaxed

Computed properties:
SG: Pnma
formation energy (no corrections): -1.1362 eV per atom
size of the total moment: 4.0 μB per formula unit
distance to the lowest polymorph of the same formula: 0.000 kcal/mol of atoms

Unit cell a=8.0993 b=3.9785 c=13.6832 alpha=90.00 beta=90.00 gamma=90.00
With the nearest neighbours (Å) after each atom.
Positions (direct):
Sm1 0.0990 0.2500 0.1703  9 Se 3.04-3.19
Sm2 0.4010 0.7500 0.6703  9 Se 3.04-3.19
Sm3 0.5990 0.2500 0.3297  9 Se 3.04-3.19
Sm4 0.9010 0.7500 0.8297  9 Se 3.04-3.19
Mn1 0.1582 0.7500 0.4483  6 Se 2.53-2.63
Mn2 0.3418 0.2500 0.9483  6 Se 2.53-2.63
Mn3 0.6582 0.7500 0.0517  6 Se 2.53-2.63
Mn4 0.8418 0.2500 0.5517  6 Se 2.53-2.63
Se1 0.0181 0.7500 0.6149  3 Mn 2.55-2.60
Se2 0.1515 0.7500 0.0050  2 Mn 2.63
Se3 0.1886 0.2500 0.7868  1 Mn 2.53
Se4 0.3114 0.7500 0.2868  1 Mn 2.53
Se5 0.3485 0.2500 0.5050  2 Mn 2.63
Se6 0.4819 0.2500 0.1149  3 Mn 2.55-2.60
Se7 0.5181 0.7500 0.8851  3 Mn 2.55-2.60
Se8 0.6515 0.7500 0.4950  2 Mn 2.63
Se9 0.6886 0.2500 0.7132  1 Mn 2.53
Se10 0.8114 0.7500 0.2132  1 Mn 2.53
Se11 0.8485 0.2500 0.9950  2 Mn 2.63
Se12 0.9819 0.2500 0.3851  3 Mn 2.55-2.60

---

Material: ZnTeIr2
Method: DFT, PBE
State: relaxed

Computed properties:
SG: F-43m
formation energy (no corrections): 0.4880 eV per atom
size of the total moment: 0.0 μB per formula unit
distance to the lowest polymorph of the same formula: 6.891 kcal/mol of atoms

Unit cell a=6.4583 b=6.4583 c=6.4583 alpha=90.00 beta=90.00 gamma=90.00
With the nearest neighbours (Å) after each atom.
Positions (direct):
Zn1 0.0000 0.0000 0.0000  4 Ir 2.80, 4 Te 2.80
Zn2 0.0000 0.5000 0.5000  4 Ir 2.80, 4 Te 2.80
Zn3 0.5000 0.0000 0.5000  4 Ir 2.80, 4 Te 2.80
Zn4 0.5000 0.5000 0.0000  4 Ir 2.80, 4 Te 2.80
Te1 0.2500 0.2500 0.7500  4 Ir 2.80, 4 Zn 2.80
Te2 0.2500 0.7500 0.2500  4 Ir 2.80, 4 Zn 2.80
Te3 0.7500 0.2500 0.2500  4 Ir 2.80, 4 Zn 2.80
Te4 0.7500 0.7500 0.7500  4 Ir 2.80, 4 Zn 2.80
Ir1 0.0000 0.0000 0.5000  4 Te 2.80, 4 Ir 2.80
Ir2 0.0000 0.5000 0.0000  4 Te 2.80, 4 Ir 2.80
Ir3 0.2500 0.2500 0.2500  4 Ir 2.80, 4 Zn 2.80
Ir4 0.2500 0.7500 0.7500  4 Ir 2.80, 4 Zn 2.80
Ir5 0.5000 0.0000 0.0000  4 Te 2.80, 4 Ir 2.80
Ir6 0.5000 0.5000 0.5000  4 Te 2.80, 4 Ir 2.80
Ir7 0.7500 0.2500 0.7500  4 Ir 2.80, 4 Zn 2.80
Ir8 0.7500 0.7500 0.2500  4 Ir 2.80, 4 Zn 2.80

---

Material: Lu2GeO
Method: DFT, PBE
State: relaxed

Computed properties:
SG: R-3m
formation energy (no corrections): -1.5949 eV per atom
size of the total moment: 0.0 μB per formula unit

Unit cell a=4.3959 b=4.3959 c=20.1521 alpha=90.00 beta=90.00 gamma=120.00
With the nearest neighbours (Å) after each atom.
Positions (direct):
Lu1 0.0000 0.0000 0.0982  1 O 1.98
Lu2 0.0000 0.0000 0.9018  1 O 1.98
Lu3 0.3333 0.6667 0.5684  1 O 1.98
Lu4 0.3333 0.6667 0.7649  1 O 1.98
Lu5 0.6667 0.3333 0.2351  1 O 1.98
Lu6 0.6667 0.3333 0.4316  1 O 1.98
Ge1 0.0000 0.0000 0.5000  6 Lu 2.89
Ge2 0.3333 0.6667 0.1667  6 Lu 2.89
Ge3 0.6667 0.3333 0.8333  6 Lu 2.89
O1 0.0000 0.0000 0.0000  2 Lu 1.98
O2 0.3333 0.6667 0.6667  2 Lu 1.98
O3 0.6667 0.3333 0.3333  2 Lu 1.98